1.
HoHgTe | PBE | relaxed

## Properties
Total DFT energy (no corrections) ... -9.1 eV per cell
Magnetization ... 0.01 μB/f.u.
Space group ... F-43m, No. 216

Cell: 5.147 5.147 5.147 Å, 60.00 60.00 60.00°
Sites, in units of the cell vectors:
1 Hg 0.250 0.250 0.250
2 Te 0.000 0.000 0.000
3 Ho 0.750 0.750 0.750

=====

2.
Ho3Tl2Hg | PBE | relaxed

## Properties
Total DFT energy (no corrections) ... -21.0 eV per cell
Magnetization ... 0.21 μB/f.u.
Space group ... P4/mmm, No. 123

Cell: 3.702 3.702 11.506 Å, 90.00 90.00 90.00°
Site moments in Bohr magnetons follow the coordinates.
Sites, in units of the cell vectors:
1 Hg 0.500 0.500 0.500  0.00
2 Tl 0.500 0.500 0.828  0.00
3 Tl 0.500 0.500 0.172  0.00
4 Ho 0.000 0.000 0.657  0.08
5 Ho 0.000 0.000 0.343  0.08
6 Ho 0.000 0.000 0.000  -0.01

=====

3.
HoTmHg | PBE | relaxed

## Properties
Total DFT energy (no corrections) ... -9.7 eV per cell
Energy relative to the lowest polymorph listed for this composition ... 0 meV/atom
Magnetization ... 0.01 μB/f.u.
Space group ... F-43m, No. 216

Cell: 5.045 5.045 5.045 Å, 60.00 60.00 60.00°
Sites, in units of the cell vectors:
1 Ho 0.250 0.250 0.250
2 Hg 0.000 0.000 0.000
3 Tm 0.750 0.750 0.750

=====

4.
HoTmHg6 | PBE | relaxed

## Properties
Total DFT energy (no corrections) ... -13.4 eV per cell
Energy relative to the lowest polymorph listed for this composition ... 0 meV/atom
Magnetization ... 0.00 μB/f.u.
Space group ... P-6m2, No. 187

Cell: 6.578 6.578 4.983 Å, 90.00 90.00 120.00°
Sites, in units of the cell vectors:
1 Tm 0.333 0.667 0.000
2 Hg 0.499 0.999 0.500
3 Hg 0.333 0.167 0.000
4 Hg 0.833 0.167 0.000
5 Hg 0.833 0.667 0.000
6 Hg 0.499 0.501 0.500
7 Hg 0.001 0.501 0.500
8 Ho 0.000 0.000 0.500

=====

5.
Ho2Tm5Hg | PBE | relaxed

## Properties
Total DFT energy (no corrections) ... -32.1 eV per cell
Magnetization ... 0.93 μB/f.u.
Space group ... Amm2, No. 38

Cell: 5.467 6.965 6.965 Å, 60.03 90.00 90.00°
Site moments in Bohr magnetons follow the coordinates.
Sites, in units of the cell vectors:
1 Tm 0.500 0.166 0.166  0.09
2 Tm 0.500 0.669 0.162  0.15
3 Tm 0.000 0.841 0.328  0.09
4 Tm 0.500 0.162 0.669  0.12
5 Tm 0.000 0.328 0.841  0.09
6 Ho 0.500 0.670 0.670  0.13
7 Ho 0.000 0.328 0.328  0.08
8 Hg 0.000 0.836 0.836  0.01

=====

6.
HoTmHg2 | PBE | relaxed

## Properties
Total DFT energy (no corrections) ... -21.5 eV per cell
Magnetization ... 0.00 μB/f.u.
Space group ... Amm2, No. 38

Cell: 5.130 6.700 6.700 Å, 60.40 90.00 90.00°
Sites, in units of the cell vectors:
1 Hg 0.500 0.675 0.172
2 Hg 0.500 0.172 0.675
3 Hg 0.500 0.167 0.167
4 Hg 0.000 0.824 0.824
5 Ho 0.500 0.683 0.683
6 Ho 0.000 0.331 0.331
7 Tm 0.000 0.310 0.838
8 Tm 0.000 0.838 0.310

=====

7.
HoTmHg6 | PBE | relaxed

## Properties
Total DFT energy (no corrections) ... -13.3 eV per cell
Energy relative to the lowest polymorph listed for this composition ... 10 meV/atom
Magnetization ... 0.00 μB/f.u.
Space group ... Amm2, No. 38

Cell: 4.843 6.470 6.470 Å, 66.38 90.00 90.00°
Sites, in units of the cell vectors:
1 Ho 0.000 0.142 0.142
2 Hg 0.500 0.823 0.363
3 Hg 0.500 0.327 0.327
4 Hg 0.500 0.363 0.823
5 Hg 0.000 0.175 0.638
6 Hg 0.000 0.638 0.175
7 Hg 0.000 0.675 0.675
8 Tm 0.500 0.858 0.858

=====

8.
HoTmHg2 | PBE | relaxed

## Properties
Total DFT energy (no corrections) ... -21.6 eV per cell
Magnetization ... 0.00 μB/f.u.
Space group ... Ama2, No. 40

Cell: 5.383 6.719 6.719 Å, 123.50 90.00 90.00°
Sites, in units of the cell vectors:
1 Hg 0.250 0.153 0.806
2 Hg 0.750 0.806 0.153
3 Hg 0.250 0.178 0.354
4 Hg 0.750 0.354 0.178
5 Ho 0.750 0.317 0.621
6 Ho 0.250 0.621 0.317
7 Tm 0.250 0.703 0.868
8 Tm 0.750 0.868 0.703

=====

9.
Ho4TmHg5 | PBE | relaxed

## Properties
Total DFT energy (no corrections) ... -29.1 eV per cell
Magnetization ... 0.04 μB/f.u.
Space group ... P4/mmm, No. 123

Cell: 3.685 3.685 18.470 Å, 90.00 90.00 90.00°
Sites, in units of the cell vectors:
1 Ho 0.000 0.000 0.199
2 Ho 0.000 0.000 0.801
3 Ho 0.000 0.000 0.400
4 Ho 0.000 0.000 0.600
5 Tm 0.000 0.000 0.000
6 Hg 0.500 0.500 0.299
7 Hg 0.500 0.500 0.500
8 Hg 0.500 0.500 0.902
9 Hg 0.500 0.500 0.098
10 Hg 0.500 0.500 0.701

=====

10.
Ho2TmHg5 | PBE | relaxed

## Properties
Total DFT energy (no corrections) ... -18.4 eV per cell
Magnetization ... 0.01 μB/f.u.
Space group ... Amm2, No. 38

Cell: 5.080 6.368 6.368 Å, 68.50 90.00 90.00°
Sites, in units of the cell vectors:
1 Ho 0.000 0.665 0.665
2 Ho 0.500 0.361 0.361
3 Tm 0.000 0.111 0.111
4 Hg 0.000 0.167 0.616
5 Hg 0.500 0.859 0.360
6 Hg 0.500 0.360 0.859
7 Hg 0.000 0.616 0.167
8 Hg 0.500 0.862 0.862

=====

11.
HoTm6Hg | PBE | relaxed

## Properties
Total DFT energy (no corrections) ... -32.0 eV per cell
Magnetization ... 0.83 μB/f.u.
Space group ... P-6m2, No. 187

Cell: 6.951 6.951 5.476 Å, 90.00 90.00 120.00°
Site moments in Bohr magnetons follow the coordinates.
Sites, in units of the cell vectors:
1 Tm 0.504 0.496 0.000  0.08
2 Tm 0.165 0.330 0.500  0.12
3 Tm 0.670 0.835 0.500  0.10
4 Tm 0.993 0.496 0.000  0.08
5 Tm 0.165 0.835 0.500  0.14
6 Tm 0.504 0.007 0.000  0.08
7 Hg 0.000 0.000 0.000  0.01
8 Ho 0.667 0.333 0.500  0.06

=====

12.
HoTmHg2 | PBE | relaxed

## Properties
Total DFT energy (no corrections) ... -23.1 eV per cell
Magnetization ... 0.00 μB/f.u.
Space group ... Cmcm, No. 63

Cell: 6.373 6.373 5.198 Å, 90.00 90.00 110.59°
Sites, in units of the cell vectors:
1 Hg 0.872 0.626 0.250
2 Hg 0.626 0.872 0.750
3 Hg 0.128 0.374 0.750
4 Hg 0.374 0.128 0.250
5 Tm 0.375 0.625 0.250
6 Tm 0.625 0.375 0.750
7 Ho 0.873 0.127 0.250
8 Ho 0.127 0.873 0.750